[1]
First-principles (PBE) data for a relaxed structure of Pa2TcAs4, as listed in Alexandria via LeMat-Bulk.

```
7
Lattice="-2.3485 3.0004 -1.6019 -3.1509 -2.6522 -0.3484 -2.7346 2.1847 8.1011" Properties=species:S:1:pos:R:3 pbc="T T T"
Pa -3.2478 3.1568 5.3417
Pa -2.2366 -0.7980 1.7843
Tc -2.7497 0.1741 -0.9751
As -1.5927 1.8345 0.4386
As -3.8917 0.5243 6.6874
As -4.1170 1.2665 3.0754
As -1.3673 1.0924 4.0506
```

***

[2]
First-principles (PBE) data for a relaxed structure of Pa2TcAs, as listed in Alexandria via LeMat-Bulk.

Relative energy among the computed polymorphs ... 71 meV per atom

```
4
Lattice="-2.7723 1.9298 -0.0374 -1.0260 -1.5289 -2.8321 -3.5449 -5.0152 3.9918" Properties=species:S:1:pos:R:3 pbc="T T T"
As -3.6716 -2.3072 0.5611
Pa -2.6806 -3.7924 3.0185
Pa -0.8643 -1.2228 0.9733
Tc -1.8992 0.2004 -1.4348
```

***

[3]
First-principles (PBE) data for a relaxed structure of PaTcAs2, as listed in Alexandria via LeMat-Bulk.

Relative energy among the computed polymorphs ... 637 meV per atom

```
4
Lattice="3.0027 0.0000 0.0000 1.5014 2.6004 0.0000 1.5014 0.8668 9.8989" Properties=species:S:1:pos:R:3 pbc="T T T"
As 1.5014 0.8668 7.4505
As 4.5041 2.6004 2.4485
Pa 3.0027 1.7336 4.9495
Tc 0.0000 0.0000 0.0000
```

***

[4]
First-principles (PBE) data for a relaxed structure of Pa2TcAs, as listed in Alexandria via LeMat-Bulk.

Relative energy among the computed polymorphs ... 0 meV per atom

```
4
Lattice="3.9566 0.0000 0.0000 1.9783 3.4265 0.0000 1.9783 1.1422 6.9516" Properties=species:S:1:pos:R:3 pbc="T T T"
As 0.0000 0.0000 0.0000
Pa 5.9349 3.4265 5.0468
Pa 1.9783 1.1422 1.9048
Tc 3.9566 2.2843 3.4758
```

***

[5]
First-principles (PBE) data for a relaxed structure of PaTcAs2, as listed in Alexandria via LeMat-Bulk.

Relative energy among the computed polymorphs ... 18 meV per atom

```
4
Lattice="-0.9334 -0.4416 -3.3536 -1.6553 -3.9353 0.9806 -3.4616 4.4123 2.1116" Properties=species:S:1:pos:R:3 pbc="T T T"
Pa -2.5533 -2.5293 0.5484
Tc -4.2616 0.6139 0.5331
As -3.1552 -0.3395 -1.4705
As -4.1403 3.0062 0.5535
```

***

[6]
First-principles (PBE) data for a relaxed structure of Pa2TcAs, as listed in Alexandria via LeMat-Bulk.

Relative energy among the computed polymorphs ... 0 meV per atom

```
16
Lattice="5.7491 0.0000 0.0000 0.0000 5.7447 0.2127 0.0000 -0.4161 11.2405" Properties=species:S:1:pos:R:3 pbc="T T T"
Pa 4.3116 5.3745 10.2059
Pa 1.4374 -0.0459 1.2472
Pa 4.3116 2.6183 6.9738
Pa 1.4374 2.7102 4.4793
Pa 4.3124 2.8153 1.6689
Pa 1.4367 2.5133 9.7842
Pa 4.3124 5.5936 4.2703
Pa 1.4367 -0.2651 7.1828
Tc 1.4362 2.6126 7.1316
Tc 4.3129 2.7160 4.3216
Tc 1.4362 5.3802 10.0481
Tc 4.3129 -0.0517 1.4050
As 1.4378 5.5883 4.4275
As 4.3113 -0.2598 7.0257
As 1.4378 2.8206 1.5118
As 4.3113 2.5080 9.9414
```

***

no.,calculated formation energy (eV/atom),DFT total energy (eV per atom),total moment (μB/cell)
1,-0.59,-7.436,0.0
2,-0.44,-8.942,0.0
3,0.22,-7.070,0.0
4,-0.51,-9.013,0.0
5,-0.40,-7.689,0.0
6,-0.51,-9.013,0.0